VASP calculation (PBE with a Hubbard U) on an optimized crystal structure of PaGe2MoO8.

The calculation puts the energy at -0.5553 Ry per atom. As for the space-group type: I-4m2 (119). The density of states at the Fermi level comes out at 0.00 states/eV/f.u.

Cell and atoms, written as POSCAR:
```
PaGe2MoO8
1.0
-3.4718 3.4718 3.2725
3.4718 -3.4718 3.2725
3.4718 3.4718 -3.2725
Pa Ge Mo O
1 2 1 8
Direct
0.0000 0.0000 0.0000 Pa
0.5000 0.5000 0.0000 Ge
0.7500 0.2500 0.5000 Ge
0.2500 0.7500 0.5000 Mo
0.3088 0.1244 0.8156 O
0.3088 0.4932 0.1844 O
0.3821 0.0700 0.3121 O
0.5068 0.6912 0.8156 O
0.7580 0.0700 0.6879 O
0.8756 0.6912 0.1844 O
0.9300 0.2420 0.3121 O
0.9300 0.6179 0.6879 O
```